[1]
PmAgSnAs | PBE-GGA | relaxed

Calculated values
Calculated formation energy = -385 meV/atom

Lattice parameters (Å, degrees): 7.2283 7.2283 7.2283 90.00 90.00 90.00
Sites, in units of the cell vectors:
Pm 0.0000 0.0000 0.0000
Pm 0.0000 0.5000 0.5000
Pm 0.5000 0.0000 0.5000
Pm 0.5000 0.5000 0.0000
Ag 0.2500 0.2500 0.2500
Ag 0.2500 0.7500 0.7500
Ag 0.7500 0.2500 0.7500
Ag 0.7500 0.7500 0.2500
Sn 0.0000 0.0000 0.5000
Sn 0.0000 0.5000 0.0000
Sn 0.5000 0.0000 0.0000
Sn 0.5000 0.5000 0.5000
As 0.2500 0.2500 0.7500
As 0.2500 0.7500 0.2500
As 0.7500 0.2500 0.2500
As 0.7500 0.7500 0.7500



[2]
SrPmAgAs | PBE-GGA | relaxed

Calculated values
Calculated formation energy = -595 meV/atom

Lattice parameters (Å, degrees): 7.5207 7.5207 7.5207 90.00 90.00 90.00
Sites, in units of the cell vectors:
Sr 0.0000 0.0000 0.0000
Sr 0.0000 0.5000 0.5000
Sr 0.5000 0.0000 0.5000
Sr 0.5000 0.5000 0.0000
Pm 0.0000 0.0000 0.5000
Pm 0.0000 0.5000 0.0000
Pm 0.5000 0.0000 0.0000
Pm 0.5000 0.5000 0.5000
Ag 0.2500 0.2500 0.2500
Ag 0.2500 0.7500 0.7500
Ag 0.7500 0.2500 0.7500
Ag 0.7500 0.7500 0.2500
As 0.2500 0.2500 0.7500
As 0.2500 0.7500 0.2500
As 0.7500 0.2500 0.2500
As 0.7500 0.7500 0.7500



[3]
Pm8AgTe4As3 | PBE-GGA | relaxed

Calculated values
Formation energy from raw total energies = -1.339 eV per atom

Lattice parameters (Å, degrees): 8.7790 8.7790 8.7790 59.35 59.35 59.35
Sites, in units of the cell vectors:
Pm 0.2345 0.7475 0.7475
Pm 0.2397 0.2397 0.2397
Pm 0.2525 0.2525 0.7655
Pm 0.2525 0.7655 0.2525
Pm 0.7475 0.2345 0.7475
Pm 0.7475 0.7475 0.2345
Pm 0.7603 0.7603 0.7603
Pm 0.7655 0.2525 0.2525
Ag 0.5000 0.5000 0.5000
Te 0.0000 0.0000 0.0000
Te 0.0000 0.5000 0.5000
Te 0.5000 0.0000 0.5000
Te 0.5000 0.5000 0.0000
As 0.0000 0.0000 0.5000
As 0.0000 0.5000 0.0000
As 0.5000 0.0000 0.0000



[4]
Pr2AgAs | PBE-GGA | relaxed

Calculated values
Calculated formation energy = -704 meV/atom

Lattice parameters (Å, degrees): 3.8151 3.8151 7.1915 90.00 90.00 90.00
Sites, in units of the cell vectors:
Pr 0.0000 0.0000 0.2339
Pr 0.0000 0.0000 0.7661
Ag 0.5000 0.5000 0.5000
As 0.5000 0.5000 0.0000